Material: MgAg3Sn
Method: DFT, PBE
State: relaxed

Unit cell a=4.3638 b=20.3405 c=4.3840 alpha=90.00 beta=90.00 gamma=90.00
Last column: nearest neighbours and their distance in Å.
Space group Cmcm (No. 63)
Unique sites:
Mg 0.0000 0.1471 0.2500  8 Ag 2.95-3.03, 4 Sn 3.09
Ag 0.0000 0.0474 0.7500  8 Ag 2.92-3.09, 2 Mg 2.99, 2 Sn 3.02
Ag 0.0000 0.2502 0.7500  4 Sn 2.99, 4 Mg 3.02-3.03, 4 Ag 3.09
Ag 0.0000 0.4506 0.7500  8 Ag 2.94-3.09, 2 Mg 2.95, 2 Sn 3.00
Sn 0.0000 0.3501 0.2500  8 Ag 2.99-3.02, 4 Mg 3.09

Calculated values
- distance to the lowest polymorph of the same formula (kcal/mol of atoms) = 0.000
- magnetic moment (μB per formula unit) = 0.00
- raw total energy (Ry/atom) = -0.2151
- E_form (meV/atom) = -96